# RbS2Br2, optimized geometry, DFT PBE
data_RbS2Br2
_chemical_formula_sum 'Rb2 S4 Br4'
_cell_length_a 3.4392
_cell_length_b 3.4392
_cell_length_c 25.9868
_cell_angle_alpha 90.00
_cell_angle_beta 90.00
_cell_angle_gamma 90.00
_space_group_name_H-M_alt 'I 4/m m m'
_space_group_IT_number 139
_space_group_name_Hall '-I 4 2'
loop_
_atom_site_label
_atom_site_type_symbol
_atom_site_fract_x
_atom_site_fract_y
_atom_site_fract_z
_atom_site_occupancy
Rb1 Rb 0.0000 0.0000 0.0000 1
S1 S 0.0000 0.5000 0.2500 1
Br1 Br 0.0000 0.0000 0.4086 1
# Energy above the most stable polymorph in this dataset ... 1.285 eV/f.u.
# Magnetization ... 0.000 Bohr magnetons per cell
# Energy relative to the elements, uncorrected ... -1.104 eV/f.u.
# E_tot ... -2.734 eV per atom
# DOS at the Fermi energy ... 14.33 states/eV/cell